(w)
Zr3CdH, optimized geometry, DFT PBE; density of states at the Fermi level = 7.75 states/eV/cell; space group = Pmmm (47); size of the total moment = 0.0 Bohr magnetons per cell; volume = 18.82 Å³/atom
1.0
9.141 -0.002 0.001
0.001 3.166 -0.026
0.000 3.217 6.475
Zr H Cd
6 2 2
direct
0.393 0.289 0.186
0.132 0.530 0.445
0.653 0.530 0.445
0.393 0.789 0.686
0.653 0.049 0.927
0.132 0.049 0.927
0.530 0.789 0.186
0.255 0.789 0.186
0.893 0.289 0.186
0.893 0.789 0.686

---

(x)
Zr3CdH, optimized geometry, DFT PBE; density of states at the Fermi level = 15.08 states/eV/cell; space group = P2_1/c (14); size of the total moment = 0.0 Bohr magnetons per cell; volume = 18.58 Å³/atom
1.0
-19.498 3.224 1.929
0.177 -2.057 5.230
8.164 1.802 0.432
Zr H Cd
12 4 4
direct
0.229 0.427 0.757
0.771 0.573 0.243
0.844 0.193 0.873
0.465 0.262 0.987
0.271 0.927 0.743
0.729 0.073 0.257
0.965 0.238 0.487
0.035 0.762 0.513
0.535 0.738 0.013
0.156 0.807 0.127
0.656 0.693 0.627
0.344 0.307 0.373
0.577 0.389 0.991
0.077 0.111 0.491
0.423 0.611 0.009
0.923 0.889 0.509
0.418 0.799 0.402
0.082 0.299 0.098
0.918 0.701 0.902
0.582 0.201 0.598

---

Which of them is most stable, and which least? Most stable: (w); least stable: (x).

---

(w)
TaReRu2, optimized geometry, DFT PBE; density of states at the Fermi level = 4.60 states/eV/cell; space group = P2/m (10); size of the total moment = 0.0 Bohr magnetons per cell; volume = 15.22 Å³/atom
1.0
2.808 0.000 0.000
0.000 4.820 -0.001
0.000 3.238 4.497
Ta Ru Re
1 2 1
direct
0.500 0.500 0.500
0.000 0.000 0.000
0.500 0.500 0.000
0.000 0.000 0.500

---

(x)
TaReRu2, optimized geometry, DFT PBE; density of states at the Fermi level = 5.51 states/eV/cell; space group = Cmmm (65); size of the total moment = 0.0 Bohr magnetons per cell; volume = 15.16 Å³/atom
1.0
-0.246 -4.316 -1.981
2.743 2.714 -2.780
2.271 -0.800 1.459
Ru Ta Re
2 1 1
direct
0.000 0.000 0.000
0.500 0.500 0.000
0.500 0.000 0.500
0.000 0.500 0.500

---

Which of them is most stable, and which least? Most stable: (x); least stable: (w).

---

(w)
AlPb3S, optimized geometry, DFT PBE; density of states at the Fermi level = 1.82 states/eV/cell; space group = Pm-3m (221); size of the total moment = 0.0 Bohr magnetons per cell; volume = 31.68 Å³/atom
1.0
5.411 0.000 0.000
0.000 5.411 0.000
0.000 0.000 5.411
Pb Al S
3 1 1
direct
0.500 0.000 0.000
0.000 0.500 0.000
0.000 0.000 0.500
0.000 0.000 0.000
0.500 0.500 0.500

---

(x)
AlPb3S, optimized geometry, DFT PBE; density of states at the Fermi level = 2.37 states/eV/cell; space group = Pm-3m (221); size of the total moment = 0.0 Bohr magnetons per cell; volume = 33.42 Å³/atom
1.0
5.508 0.000 0.000
0.000 5.508 0.000
0.000 0.000 5.508
Pb Al S
3 1 1
direct
0.000 0.000 0.500
0.500 0.000 0.000
0.000 0.500 0.000
0.500 0.500 0.500
0.000 0.000 0.000

---

Which of them is most stable, and which least? Most stable: (x); least stable: (w).